Entry from the Alexandria database: a relaxed structure of Li3AlIn (GGA-PBE).

crystal system	monoclinic
formation enthalpy at 0 K	-5.28	kcal/mol of atoms
VASP energy	-26.74	eV/cell
symmetry	P2_1/m (11)
energy relative to the lowest polymorph listed for this composition	0.00	eV per formula unit
magnetization	0.00	μB per cell

Structure (POSCAR):
```
Li3AlIn
1.0
-2.144 -1.359 -3.797
4.215 -3.413 -1.158
-1.978 -6.001 3.265
Al Li In
2 6 2
Direct
0.625 0.407 0.370 Al
0.125 0.691 0.278 Al
0.124 0.498 0.661 Li
0.624 0.990 0.177 Li
0.624 0.600 0.986 Li
0.124 0.108 0.470 Li
0.124 0.298 0.073 Li
0.624 0.800 0.574 Li
0.125 0.879 0.873 In
0.625 0.220 0.774 In
```

Entry from the Alexandria database: a relaxed structure of Na2SrS2 (GGA-PBE).

E_form (uncorrected)	-1.26	eV per atom
crystal system	tetragonal
VASP energy	-18.89	eV/cell
symmetry	I4/mmm (139)
energy relative to the lowest polymorph listed for this composition	0.00	eV per formula unit
magnetization	0.00	μB per cell

Structure (POSCAR):
```
Na2SrS2
1.0
-1.365 -2.518 2.898
-0.671 -2.872 -2.811
5.529 -5.153 0.992
S Na Sr
2 2 1
Direct
0.620 0.620 0.760 S
0.380 0.380 0.240 S
0.250 0.750 0.500 Na
0.750 0.250 0.500 Na
0.000 0.000 0.000 Sr
```